## SrCrAsW2 (PBEsol)

Data for a geometry-optimized SrCrAsW2 structure.

Unit cell a=4.628 b=4.628 c=4.653 alpha=90.00 beta=90.00 gamma=90.00
Atoms (fractional coordinates):
Sr (0.000, 0.000, 0.000)
Cr (0.500, 0.500, 0.500)
As (0.500, 0.500, 0.000)
W (0.000, 0.500, 0.500)
W (0.500, 0.000, 0.500)

## Properties
**E_tot**: -7.82 eV/atom
**Space-group type**: No. 123
**Energy of formation from the pure elements**: 1.1414 eV per atom



## ZrTeCl2 (PBEsol)

Data for a geometry-optimized ZrTeCl2 structure.

Unit cell a=6.468 b=6.468 c=6.641 alpha=118.90 beta=118.90 gamma=28.63
Atoms (fractional coordinates):
Zr (0.000, 0.000, 0.000)
Te (0.685, 0.685, 0.362)
Cl (0.343, 0.343, 0.992)
Cl (0.509, 0.509, 0.716)

## Properties
**E_tot**: -5.50 eV/atom
**Space-group type**: No. 8
**Energy above the most stable polymorph in this dataset**: 0 meV per atom



## Sr2SmNbO6 (PBEsol)

Data for a geometry-optimized Sr2SmNbO6 structure.

Unit cell a=5.822 b=5.970 c=10.116 alpha=90.00 beta=124.84 gamma=90.00
Atoms (fractional coordinates):
Sr (0.239, 0.046, 0.251)
Sr (0.239, 0.454, 0.751)
Sr (0.761, 0.546, 0.249)
Sr (0.761, 0.954, 0.749)
Sm (0.500, 0.000, 0.000)
Sm (0.500, 0.500, 0.500)
Nb (0.000, 0.000, 0.500)
Nb (0.000, 0.500, 0.000)
O (0.133, 0.224, 0.945)
O (0.133, 0.276, 0.445)
O (0.229, 0.691, 0.953)
O (0.229, 0.809, 0.453)
O (0.327, 0.034, 0.732)
O (0.327, 0.466, 0.232)
O (0.673, 0.534, 0.768)
O (0.673, 0.966, 0.268)
O (0.771, 0.191, 0.547)
O (0.771, 0.309, 0.047)
O (0.867, 0.724, 0.555)
O (0.867, 0.776, 0.055)

## Properties
**E_tot**: -8.15 eV/atom
**Space-group type**: No. 14



## CaYTl2 (PBEsol)

Data for a geometry-optimized CaYTl2 structure.

Unit cell a=4.162 b=4.162 c=6.612 alpha=90.00 beta=90.00 gamma=90.00
Atoms (fractional coordinates):
Ca (0.000, 0.000, 0.000)
Y (0.500, 0.500, 0.683)
Tl (0.000, 0.000, 0.487)
Tl (0.500, 0.500, 0.210)

## Properties
**E_tot**: -3.75 eV/atom
**Space-group type**: No. 99
**Energy of formation from the pure elements**: -0.1937 eV per atom



- E_tot of number 2 (ZrTeCl2)?
  -5.50 eV/atom